No. 1
# MgScMo2 PBE relaxed
# Crystal system = orthorhombic
# Energy relative to the elements = 228 meV/atom
# Total magnetization = 0.0 μB/f.u.
# Space group = Pmmm
# DOS(E_F) = 0.859 states/eV/atom
data_MgScMo2
_chemical_formula_sum 'Mg1 Sc1 Mo2'
_cell_length_a 3.489
_cell_length_b 4.318
_cell_length_c 4.670
_cell_angle_alpha 90.00
_cell_angle_beta 90.00
_cell_angle_gamma 90.00
_symmetry_space_group_name_H-M 'P 1'
_symmetry_Int_Tables_number 1
loop_
_symmetry_equiv_pos_as_xyz
'x,y,z'
loop_
_atom_site_label
_atom_site_type_symbol
_atom_site_fract_x
_atom_site_fract_y
_atom_site_fract_z
Mg1 Mg 0.000 0.500 0.500
Mo1 Mo 0.000 0.000 0.000
Mo2 Mo 0.500 0.500 0.000
Sc1 Sc 0.500 0.000 0.500



No. 2
# CdSbMo4 PBE relaxed
# Crystal system = cubic
# DFT total energy = -45.4 eV per cell
# Total magnetization = 0.0 μB/f.u.
# Space group = F-43m
# DOS(E_F) = 0.618 states/eV/atom
data_CdSbMo4
_chemical_formula_sum 'Cd1 Sb1 Mo4'
_cell_length_a 5.366
_cell_length_b 5.366
_cell_length_c 5.366
_cell_angle_alpha 60.00
_cell_angle_beta 60.00
_cell_angle_gamma 60.00
_symmetry_space_group_name_H-M 'P 1'
_symmetry_Int_Tables_number 1
loop_
_symmetry_equiv_pos_as_xyz
'x,y,z'
loop_
_atom_site_label
_atom_site_type_symbol
_atom_site_fract_x
_atom_site_fract_y
_atom_site_fract_z
Cd1 Cd 0.000 0.000 0.000
Sb1 Sb 0.750 0.750 0.750
Mo1 Mo 0.879 0.374 0.374
Mo2 Mo 0.374 0.374 0.879
Mo3 Mo 0.374 0.879 0.374
Mo4 Mo 0.374 0.374 0.374



No. 3
# Cu2SeCl6 PBE relaxed
# Crystal system = monoclinic
# DFT total energy = -52.3 eV per cell
# Total magnetization = 0.5 μB/f.u.
# Space group = C2/c
# DOS(E_F) = 0.426 states/eV/atom
data_Cu2SeCl6
_chemical_formula_sum 'Cu4 Se2 Cl12'
_cell_length_a 7.083
_cell_length_b 9.270
_cell_length_c 9.270
_cell_angle_alpha 84.13
_cell_angle_beta 77.95
_cell_angle_gamma 77.95
_symmetry_space_group_name_H-M 'P 1'
_symmetry_Int_Tables_number 1
loop_
_symmetry_equiv_pos_as_xyz
'x,y,z'
loop_
_atom_site_label
_atom_site_type_symbol
_atom_site_fract_x
_atom_site_fract_y
_atom_site_fract_z
Cu1 Cu 0.238 0.706 0.751
Cu2 Cu 0.262 0.249 0.294
Cu3 Cu 0.762 0.294 0.249
Cu4 Cu 0.738 0.751 0.706
Se1 Se 0.250 0.097 0.903
Se2 Se 0.750 0.903 0.097
Cl1 Cl 0.543 0.625 0.637
Cl2 Cl 0.957 0.363 0.375
Cl3 Cl 0.457 0.375 0.363
Cl4 Cl 0.043 0.637 0.625
Cl5 Cl 0.817 0.891 0.321
Cl6 Cl 0.683 0.679 0.109
Cl7 Cl 0.183 0.109 0.679
Cl8 Cl 0.317 0.321 0.891
Cl9 Cl 0.175 0.815 0.956
Cl10 Cl 0.325 0.044 0.185
Cl11 Cl 0.825 0.185 0.044
Cl12 Cl 0.675 0.956 0.815